(1)
Ce2ScSi4Pt3 after structural relaxation, computed with PBE-GGA.

Summary:
Magnetization in Bohr magnetons per cell: 0.70
E_form (uncorrected) in eV per atom: -1.041
Total energy in eV/cell: -68.4
Space group: P-4m2 (115)

```
Ce2ScSi4Pt3
1.0
-1.514 2.860 2.724
0.874 -2.602 3.218
9.499 4.229 0.840
Pt Si Ce Sc
3 4 2 1
Direct
0.500 0.000 0.885
0.000 0.000 0.500
0.000 0.500 0.115
0.000 0.500 0.348
0.500 0.000 0.652
0.000 0.000 0.000
0.500 0.500 0.000
0.000 0.500 0.762
0.500 0.000 0.238
0.500 0.500 0.500
```

***

(2)
Ni3PH after structural relaxation, computed with PBE-GGA.

Summary:
Magnetization in Bohr magnetons per cell: 0.00
Total energy in eV/cell: -54.6
Energy relative to the lowest polymorph listed for this composition in meV per atom: 17
Space group: Pmc2_1 (26)

```
Ni3PH
1.0
3.730 0.000 0.000
0.000 4.977 0.000
0.000 0.000 4.977
Ni P H
6 2 2
Direct
0.500 0.930 0.182
0.000 0.250 0.361
0.000 0.750 0.861
0.500 0.070 0.682
0.500 0.430 0.040
0.500 0.570 0.540
0.000 0.251 0.860
0.000 0.749 0.360
0.500 0.751 0.861
0.500 0.249 0.361
```

***

(3)
Rb2TbBi2O6 after structural relaxation, computed with PBE-GGA.

Summary:
Magnetization in Bohr magnetons per cell: 0.00
E_form (uncorrected) in eV per atom: -1.729
Total energy in eV/cell: -63.1
Space group: C2/m (12)

```
Rb2TbBi2O6
1.0
6.132 -0.005 0.054
-3.035 5.328 0.054
-1.108 -1.905 6.691
O Bi Tb Rb
6 2 1 2
Direct
0.261 0.261 0.325
0.612 0.949 0.328
0.739 0.739 0.675
0.949 0.612 0.328
0.388 0.051 0.672
0.051 0.388 0.672
0.335 0.665 0.500
0.665 0.335 0.500
0.000 0.000 0.500
0.169 0.831 0.000
0.831 0.169 0.000
```

***

(4)
Tb2NpS5 after structural relaxation, computed with PBE-GGA.

Summary:
Magnetization in Bohr magnetons per cell: 12.00
E_form (uncorrected) in eV per atom: -1.764
Total energy in eV/cell: -227.8
Space group: Pnma (62)

```
Tb2NpS5
1.0
-5.583 3.111 -3.723
-1.270 -6.801 -3.777
-7.485 -3.303 8.463
S Tb Np
20 8 4
Direct
0.661 0.042 0.400
0.161 0.542 0.100
0.839 0.458 0.900
0.339 0.542 0.600
0.326 0.750 0.314
0.826 0.250 0.186
0.161 0.958 0.100
0.661 0.458 0.400
0.174 0.750 0.814
0.201 0.250 0.784
0.457 0.250 0.000
0.543 0.750 0.000
0.043 0.250 0.500
0.701 0.750 0.716
0.839 0.042 0.900
0.299 0.250 0.284
0.339 0.958 0.600
0.799 0.750 0.216
0.957 0.750 0.500
0.674 0.250 0.686
0.483 0.001 0.822
0.517 0.501 0.178
0.983 0.501 0.678
0.517 0.999 0.178
0.983 0.999 0.678
0.017 0.499 0.322
0.483 0.499 0.822
0.017 0.001 0.322
0.068 0.250 0.007
0.568 0.750 0.493
0.432 0.250 0.507
0.932 0.750 0.993
```

***

(5)
As5Ir3 after structural relaxation, computed with PBE-GGA.

Summary:
Magnetization in Bohr magnetons per cell: 0.00
Total energy in eV/cell: -48.0
Energy of formation in eV/atom: 0.2328
Space group: Cmmm (65)

```
As5Ir3
1.0
3.189 -5.019 0.000
3.189 5.019 0.000
0.000 0.000 4.318
As Ir
5 3
Direct
0.738 0.738 0.500
0.500 0.000 0.000
0.000 0.500 0.000
0.262 0.262 0.500
0.000 0.000 0.000
0.500 0.500 0.000
0.308 0.692 0.500
0.692 0.308 0.500
```

***

(6)
La2Mg15Hg2 after structural relaxation, computed with PBE-GGA.

Summary:
Magnetization in Bohr magnetons per cell: 0.00
Total energy in eV/cell: -36.7
Energy of formation in eV/atom: -0.1223
Space group: R-3m (166)

```
La2Mg15Hg2
1.0
7.798 0.016 0.014
1.028 7.730 0.014
1.028 0.902 7.677
Mg La Hg
15 2 2
Direct
0.500 0.000 0.000
0.649 0.649 0.159
0.841 0.351 0.351
0.298 0.702 0.000
0.351 0.841 0.351
0.351 0.351 0.841
0.000 0.702 0.298
0.702 0.298 0.000
0.159 0.649 0.649
0.649 0.159 0.649
0.702 0.000 0.298
0.000 0.500 0.000
0.000 0.000 0.500
0.000 0.298 0.702
0.298 0.000 0.702
0.328 0.328 0.328
0.672 0.672 0.672
0.104 0.104 0.104
0.896 0.896 0.896
```